[1]
The following is a DFT calculation (PBE-GGA) of YTmC after structural relaxation.

Output
- energy of formation (eV per atom) = -0.253
- E_tot (eV per cell) = -83.7
- space group = Imma
- energy above the most stable polymorph in this dataset (meV/atom) = 64
- N(E_F) (states/eV/cell) = 7.43

Cell lengths 4.9726, 5.0662, 10.3952 Å; angles 90.00, 90.00, 90.00 degrees
Last column: nearest neighbours and their distance in Å.
Fractional coordinates of all 12 atoms:
Y  0.0000  0.2500  0.1108  3 C 2.46-2.54
Y  0.0000  0.7500  0.8892  3 C 2.46-2.54
Y  0.5000  0.2500  0.3892  3 C 2.46-2.54
Y  0.5000  0.7500  0.6108  3 C 2.46-2.54
Tm  0.0000  0.2500  0.6402  3 C 2.43-2.49
Tm  0.0000  0.7500  0.3598  3 C 2.43-2.49
Tm  0.5000  0.2500  0.8598  3 C 2.43-2.49
Tm  0.5000  0.7500  0.1402  3 C 2.43-2.49
C  0.0000  0.2500  0.8738  3 Tm 2.43-2.49, 3 Y 2.46-2.54
C  0.0000  0.7500  0.1262  3 Tm 2.43-2.49, 3 Y 2.46-2.54
C  0.5000  0.2500  0.6262  3 Tm 2.43-2.49, 3 Y 2.46-2.54
C  0.5000  0.7500  0.3738  3 Tm 2.43-2.49, 3 Y 2.46-2.54


[2]
The following is a DFT calculation (PBE-GGA) of YTmC after structural relaxation.

Output
- energy of formation (eV per atom) = -0.290
- E_tot (eV per cell) = -21.0
- space group = P3m1
- energy above the most stable polymorph in this dataset (meV/atom) = 27
- N(E_F) (states/eV/cell) = 2.25

Cell lengths 3.5607, 3.5607, 6.1699 Å; angles 90.00, 90.00, 120.00 degrees
Last column: nearest neighbours and their distance in Å.
Fractional coordinates of all 3 atoms:
Y  0.0000  0.0000  0.0000  3 C 2.48
Tm  0.3333  0.6667  0.5657  3 C 2.43
C  0.6667  0.3333  0.7754  3 Tm 2.43, 3 Y 2.48


[3]
The following is a DFT calculation (PBE-GGA) of Y2TmZnC after structural relaxation.

Output
- energy of formation (eV per atom) = -0.264
- E_tot (eV per cell) = -29.2
- space group = P4/mmm
- N(E_F) (states/eV/cell) = 6.14

Cell lengths 4.9108, 4.9108, 4.7705 Å; angles 90.00, 90.00, 90.00 degrees
Last column: nearest neighbours and their distance in Å.
Fractional coordinates of all 5 atoms:
Y  0.0000  0.5000  0.0000  2 C 2.46
Y  0.5000  0.0000  0.0000  2 C 2.46
Tm  0.0000  0.0000  0.5000  2 C 2.39
Zn  0.5000  0.5000  0.5000  8 Y 3.42, 4 Tm 3.47
C  0.0000  0.0000  0.0000  2 Tm 2.39, 4 Y 2.46


[4]
The following is a DFT calculation (PBE-GGA) of Tm3ZnC after structural relaxation.

Output
- energy of formation (eV per atom) = -0.293
- E_tot (eV per cell) = -50.8
- space group = C2/m
- energy above the most stable polymorph in this dataset (meV/atom) = 0
- N(E_F) (states/eV/cell) = 6.40

Cell lengths 6.1235, 6.1235, 8.0212 Å; angles 106.24, 106.24, 48.03 degrees
Last column: nearest neighbours and their distance in Å.
Fractional coordinates of all 10 atoms:
Tm  0.0906  0.0906  0.2024  2 C 2.40-2.43
Tm  0.1633  0.1633  0.6418  1 C 2.38
Tm  0.3595  0.3595  0.0778  3 C 2.45-2.49
Tm  0.6405  0.6405  0.9222  3 C 2.45-2.49
Tm  0.8367  0.8367  0.3582  1 C 2.38
Tm  0.9094  0.9094  0.7976  2 C 2.40-2.43
Zn  0.4121  0.4121  0.5692  1 Zn 2.54
Zn  0.5879  0.5879  0.4308  1 Zn 2.54
C  0.1338  0.1338  0.9229  6 Tm 2.38-2.49
C  0.8662  0.8662  0.0771  6 Tm 2.38-2.49


Number 1: density 6844 kg/m³. Number 2: density 6614 kg/m³. Number 3: density 6122 kg/m³. Number 4: density 9114 kg/m³.